## HfSbPd (GGA-PBE)

Data for a relaxed structure of HfSbPd.

abc: 6.660 4.419 8.005
angles: 90.00 90.00 90.00
Fractional positions:
Hf  0.016  0.250  0.207
Hf  0.484  0.750  0.707
Hf  0.516  0.250  0.293
Hf  0.984  0.750  0.793
Sb  0.241  0.750  0.399
Sb  0.259  0.250  0.899
Sb  0.741  0.750  0.101
Sb  0.759  0.250  0.601
Pd  0.170  0.250  0.575
Pd  0.330  0.750  0.075
Pd  0.670  0.250  0.925
Pd  0.830  0.750  0.425

Values from the calculation:
D(E_F): 0.72 states/eV/f.u.
formation energy (no corrections): -590 meV/atom
size of the total moment: 0.0 μB/cell

## HfSbPd2 (GGA-PBE)

Data for a relaxed structure of HfSbPd2.

abc: 4.137 4.137 18.686
angles: 90.00 90.00 90.00
Fractional positions:
Hf  0.000  0.000  0.000
Hf  0.000  0.500  0.250
Hf  0.500  0.000  0.750
Hf  0.500  0.500  0.500
Sb  0.000  0.000  0.500
Sb  0.000  0.500  0.750
Sb  0.500  0.000  0.250
Sb  0.500  0.500  0.000
Pd  0.250  0.250  0.125
Pd  0.250  0.250  0.625
Pd  0.250  0.750  0.375
Pd  0.250  0.750  0.875
Pd  0.750  0.250  0.375
Pd  0.750  0.250  0.875
Pd  0.750  0.750  0.125
Pd  0.750  0.750  0.625

Values from the calculation:
D(E_F): 0.83 states/eV/f.u.
formation energy (no corrections): -378 meV/atom
size of the total moment: 0.0 μB/cell